1.
Tm6Tl6In, relaxed, DFT PBE-GGA; total magnetic moment = 0.0 μB/f.u.; E_form = -0.140 eV/atom
1.0
6.436 0.000 0.000
-3.218 5.574 0.000
0.000 0.000 10.249
Tm Tl In
6 6 1
Cartesian
0.000 0.000 1.829 Tm
0.000 0.000 8.420 Tm
0.000 3.716 0.000 Tm
0.000 3.716 5.125 Tm
3.218 1.858 0.000 Tm
3.218 1.858 5.125 Tm
-1.609 2.787 2.572 Tl
-1.609 2.787 7.677 Tl
3.218 0.000 2.572 Tl
3.218 0.000 7.677 Tl
1.609 2.787 2.572 Tl
1.609 2.787 7.677 Tl
0.000 0.000 5.125 In

2.
Tm6Tl2In3, relaxed, DFT PBE-GGA; total magnetic moment = 0.0 μB/f.u.; E_form = 0.108 eV/atom
1.0
-2.871 2.871 10.608
2.871 -2.871 10.608
2.871 2.871 -10.608
Tm Tl In
6 2 3
Cartesian
2.871 0.000 1.840 Tm
0.000 0.000 4.326 Tm
2.871 0.000 8.768 Tm
0.000 2.871 1.840 Tm
0.000 0.000 16.889 Tm
0.000 2.871 8.768 Tm
0.000 0.000 1.423 Tl
0.000 0.000 19.792 Tl
0.000 0.000 7.326 In
0.000 0.000 10.608 In
0.000 0.000 13.890 In

3.
Tm12TlIn3, relaxed, DFT PBE-GGA; total magnetic moment = 0.0 μB/f.u.; E_form = -0.233 eV/atom
1.0
4.779 0.000 0.000
0.000 4.779 0.000
0.000 0.000 19.168
Tm Tl In
12 1 3
Cartesian
0.000 0.000 0.000 Tm
0.000 0.000 4.787 Tm
0.000 0.000 9.584 Tm
0.000 0.000 14.381 Tm
0.000 2.389 2.394 Tm
0.000 2.389 7.168 Tm
0.000 2.389 12.000 Tm
0.000 2.389 16.774 Tm
2.389 0.000 2.394 Tm
2.389 0.000 7.168 Tm
2.389 0.000 12.000 Tm
2.389 0.000 16.774 Tm
2.389 2.389 9.584 Tl
2.389 2.389 0.000 In
2.389 2.389 4.789 In
2.389 2.389 14.379 In

4.
Tm5TlIn, relaxed, DFT PBE-GGA; total magnetic moment = 0.0 μB/f.u.; E_form = 0.596 eV/atom
1.0
8.628 0.000 0.000
0.000 11.522 0.000
0.000 0.000 5.558
Tm Tl In
10 2 2
Cartesian
0.000 0.000 0.000 Tm
0.000 2.920 2.930 Tm
0.000 8.602 2.930 Tm
1.499 5.761 5.098 Tm
2.815 0.000 2.318 Tm
4.314 2.841 0.151 Tm
4.314 5.761 2.779 Tm
4.314 8.681 0.151 Tm
5.813 0.000 2.318 Tm
7.129 5.761 5.098 Tm
0.000 5.761 2.249 Tl
4.314 0.000 5.029 Tl
0.000 0.000 2.784 In
4.314 5.761 0.005 In

5.
Tm12Tl2In5, relaxed, DFT PBE-GGA; total magnetic moment = 0.0 μB/f.u.; E_form = -0.079 eV/atom
1.0
8.163 -3.577 0.000
8.163 3.577 0.000
-0.529 0.000 9.896
Tm Tl In
12 2 5
Cartesian
0.211 0.000 3.138 Tm
4.754 1.742 8.712 Tm
5.549 1.873 4.350 Tm
10.249 1.873 5.546 Tm
6.440 0.000 1.692 Tm
11.044 1.742 1.184 Tm
4.754 -1.742 8.712 Tm
9.358 0.000 8.204 Tm
5.549 -1.873 4.350 Tm
10.249 -1.873 5.546 Tm
11.044 -1.742 1.184 Tm
15.587 0.000 6.757 Tm
8.163 2.032 0.000 Tl
8.163 -2.032 0.000 Tl
2.064 0.000 8.287 In
3.385 0.000 3.419 In
7.899 0.000 4.948 In
12.413 0.000 6.476 In
13.734 0.000 1.609 In

6.
Y3Tm3TlIn2, relaxed, DFT PBE-GGA; total magnetic moment = 2.0 μB/f.u.; E_form = -0.294 eV/atom
1.0
8.873 0.000 0.000
-4.437 7.684 0.000
0.000 0.000 3.766
Y Tm Tl In
3 3 1 2
Cartesian
-3.163 5.479 0.000 Y
1.273 2.206 0.000 Y
6.326 0.000 0.000 Y
-1.696 2.938 1.883 Tm
3.393 0.000 1.883 Tm
2.740 4.746 1.883 Tm
0.000 0.000 1.883 Tl
0.000 5.123 0.000 In
4.437 2.561 0.000 In

7.
UTlIn, relaxed, DFT PBE-GGA; total magnetic moment = 1.7 μB/f.u.; E_form = 0.418 eV/atom
1.0
9.105 0.000 0.000
0.000 5.235 0.000
-3.023 0.000 7.293
U Tl In
4 4 4
Cartesian
0.002 0.000 1.217 U
1.528 2.617 6.075 U
4.555 2.617 1.217 U
6.081 0.000 6.075 U
-1.503 2.617 6.796 Tl
3.033 0.000 0.497 Tl
3.049 0.000 6.796 Tl
7.586 2.617 0.497 Tl
0.006 0.000 4.427 In
1.524 2.617 2.865 In
4.559 2.617 4.427 In
6.077 0.000 2.865 In

8.
U2TlIn9, relaxed, DFT PBE-GGA; total magnetic moment = 5.6 μB/f.u.; E_form = 0.049 eV/atom
1.0
4.633 0.000 0.000
0.000 4.633 0.000
0.000 0.000 14.539
U Tl In
2 1 9
Cartesian
0.000 0.000 2.327 U
0.000 0.000 12.212 U
0.000 0.000 7.269 Tl
0.000 2.317 0.000 In
0.000 2.317 4.663 In
0.000 2.317 9.875 In
2.317 0.000 0.000 In
2.317 0.000 4.663 In
2.317 0.000 9.875 In
2.317 2.317 2.303 In
2.317 2.317 7.269 In
2.317 2.317 12.235 In

9.
Tl2VIn, relaxed, DFT PBE-GGA; relative energy among the computed polymorphs = 0 meV per atom; total magnetic moment = 3.6 μB/f.u.; E_form = 0.506 eV/atom
1.0
7.329 0.000 0.000
0.000 7.329 0.000
0.000 0.000 7.329
Tl V In
8 4 4
Cartesian
1.832 1.832 1.832 Tl
1.832 1.832 5.497 Tl
1.832 5.497 1.832 Tl
1.832 5.497 5.497 Tl
5.497 1.832 1.832 Tl
5.497 1.832 5.497 Tl
5.497 5.497 1.832 Tl
5.497 5.497 5.497 Tl
0.000 0.000 0.000 V
0.000 3.665 3.665 V
3.665 0.000 3.665 V
3.665 3.665 0.000 V
0.000 0.000 3.665 In
0.000 3.665 0.000 In
3.665 0.000 0.000 In
3.665 3.665 3.665 In

10.
TlV2In2, relaxed, DFT PBE-GGA; total magnetic moment = 0.0 μB/f.u.; E_form = 0.311 eV/atom
1.0
7.148 0.000 0.000
0.000 7.148 0.000
0.000 0.000 3.929
Tl V In
2 4 4
Cartesian
0.000 0.000 0.000 Tl
3.574 3.574 0.000 Tl
0.811 2.764 0.000 V
2.764 6.338 0.000 V
4.385 0.811 0.000 V
6.338 4.385 0.000 V
1.255 4.829 1.964 In
2.319 1.255 1.964 In
4.829 5.893 1.964 In
5.893 2.319 1.964 In

11.
TlVIn2, relaxed, DFT PBE-GGA; relative energy among the computed polymorphs = 43 meV per atom; total magnetic moment = 3.0 μB/f.u.; E_form = 0.514 eV/atom
1.0
8.400 0.000 0.000
0.000 8.400 0.000
0.000 0.000 5.859
Tl V In
4 4 8
Cartesian
0.000 0.000 0.000 Tl
0.000 4.200 1.465 Tl
4.200 0.000 4.395 Tl
4.200 4.200 2.930 Tl
0.000 0.000 2.930 V
0.000 4.200 4.395 V
4.200 0.000 1.465 V
4.200 4.200 0.000 V
1.748 2.100 3.662 In
2.100 5.948 5.127 In
2.100 6.651 2.197 In
2.451 2.100 0.732 In
5.948 6.300 0.732 In
6.300 1.748 2.197 In
6.300 2.451 5.127 In
6.651 6.300 3.662 In

12.
TlVIn2, relaxed, DFT PBE-GGA; relative energy among the computed polymorphs = 0 meV per atom; total magnetic moment = 3.8 μB/f.u.; E_form = 0.471 eV/atom
1.0
7.293 0.000 0.000
0.000 7.293 0.000
0.000 0.000 7.293
Tl V In
4 4 8
Cartesian
0.000 0.000 0.000 Tl
0.000 3.647 3.647 Tl
3.647 0.000 3.647 Tl
3.647 3.647 0.000 Tl
0.000 0.000 3.647 V
0.000 3.647 0.000 V
3.647 0.000 0.000 V
3.647 3.647 3.647 V
1.823 1.823 1.823 In
1.823 1.823 5.470 In
1.823 5.470 1.823 In
1.823 5.470 5.470 In
5.470 1.823 1.823 In
5.470 1.823 5.470 In
5.470 5.470 1.823 In
5.470 5.470 5.470 In

Question: Which of these has the highest E_form?
Answer: Tm5TlIn

Question: Which of these has the lowest E_form?
Answer: Y3Tm3TlIn2

Question: Which of these has the lowest E_form?
Answer: Y3Tm3TlIn2

Question: total magnetic moment of number 1 (Tm6Tl6In)?
Answer: 0.0 μB/f.u.